(1)
Computed, not measured: NaPm2Te4Pb after structural relaxation at the PBE level of DFT.

Computed properties:
Energy: -35.8 eV/cell
Energy relative to the elements, uncorrected: -1.08 eV per atom

a = 4.4782 Å, b = 7.7447 Å, c = 8.0831 Å
α = 108.48°, β = 90.00°, γ = 90.00°
Element x y z (fractional)
Pb1 0.0000 0.0000 0.0000
Pm1 0.5000 0.0000 0.5000
Pm2 0.0000 0.5000 0.5000
Te1 0.5000 0.2539 0.2549
Te2 0.0000 0.7520 0.2575
Te3 0.5000 0.7461 0.7451
Te4 0.0000 0.2480 0.7425
Na1 0.5000 0.5000 0.0000



(2)
Computed, not measured: NaPmZnPb after structural relaxation at the PBE level of DFT.

Computed properties:
Energy: -12.1 eV/cell
Formation energy: -0.2527 eV/atom

a = 5.2946 Å, b = 5.2946 Å, c = 5.2946 Å
α = 60.00°, β = 60.00°, γ = 60.00°
Element x y z (fractional)
Na1 0.7500 0.7500 0.7500
Zn1 0.0000 0.0000 0.0000
Pm1 0.2500 0.2500 0.2500
Pb1 0.5000 0.5000 0.5000



(3)
Computed, not measured: NaPr5Pb6 after structural relaxation at the PBE level of DFT.

Computed properties:
Energy: -53.1 eV/cell
Formation energy: -0.4711 eV/atom

a = 5.9029 Å, b = 7.2688 Å, c = 9.3129 Å
α = 113.05°, β = 95.35°, γ = 89.94°
Element x y z (fractional)
Pb1 0.8305 0.5841 0.6691
Pb2 0.1693 0.9146 0.3308
Pb3 0.1695 0.4159 0.3309
Pb4 0.4998 0.7471 0.0001
Pb5 0.8307 0.0854 0.6692
Pb6 0.5002 0.2529 0.9999
Na1 0.0000 0.0000 0.0000
Pr1 0.3191 0.8393 0.6783
Pr2 0.3375 0.3314 0.6629
Pr3 0.6625 0.6686 0.3371
Pr4 0.6809 0.1607 0.3217
Pr5 0.0000 0.5000 0.0000



(4)
Computed, not measured: NaPr5Pb3 after structural relaxation at the PBE level of DFT.

Computed properties:
Energy: -80.7 eV/cell
Formation energy: -0.4440 eV/atom

a = 6.7405 Å, b = 9.8721 Å, c = 9.8719 Å
α = 120.00°, β = 90.00°, γ = 90.00°
Element x y z (fractional)
Pr1 0.5000 0.6667 0.3333
Pr2 0.7500 0.0000 0.3162
Pr3 0.2500 0.3162 0.3162
Pr4 0.7500 0.3163 0.0000
Pr5 0.0000 0.6667 0.3333
Pr6 0.0000 0.3333 0.6667
Pr7 0.2500 0.6837 0.0000
Pr8 0.5000 0.3333 0.6667
Pr9 0.7500 0.6838 0.6838
Pr10 0.2500 0.0000 0.6838
Pb1 0.7500 0.3467 0.3467
Pb2 0.2500 0.6533 0.6533
Pb3 0.7500 0.6533 0.0000
Pb4 0.2500 0.3467 0.0000
Pb5 0.2500 0.0000 0.3467
Pb6 0.7500 0.0000 0.6533
Na1 0.5000 0.0000 0.0000
Na2 0.0000 0.0000 0.0000



(5)
Computed, not measured: NaPrPb6 after structural relaxation at the PBE level of DFT.

Computed properties:
Energy: -30.3 eV/cell
Formation energy: -0.2490 eV/atom

a = 4.8956 Å, b = 4.8956 Å, c = 10.0086 Å
α = 90.00°, β = 90.00°, γ = 90.00°
Element x y z (fractional)
Pb1 0.0000 0.5000 0.2556
Pb2 0.5000 0.0000 0.7444
Pb3 0.5000 0.0000 0.2556
Pb4 0.0000 0.5000 0.7444
Pb5 0.5000 0.5000 0.5000
Pb6 0.5000 0.5000 0.0000
Na1 0.0000 0.0000 0.5000
Pr1 0.0000 0.0000 0.0000



(6)
Computed, not measured: NaPrPb after structural relaxation at the PBE level of DFT.

Computed properties:
Energy: -20.7 eV/cell
Formation energy: -0.1762 eV/atom

a = 3.6659 Å, b = 5.6772 Å, c = 9.7336 Å
α = 96.18°, β = 90.00°, γ = 108.84°
Element x y z (fractional)
Pr1 0.1520 0.3039 0.6118
Pr2 0.8480 0.6961 0.3882
Na1 0.6257 0.2514 0.9391
Na2 0.3743 0.7486 0.0609
Pb1 0.1084 0.2168 0.2407
Pb2 0.8916 0.7832 0.7593



| no. | spin magnetization (μB/f.u.) |
| --- | --- |
| 1 | 0.00 |
| 2 | 0.00 |
| 3 | 0.00 |
| 4 | 0.00 |
| 5 | 0.00 |
| 6 | 0.00 |